Here is crystalline Sm2Zn5Cd at its relaxed geometry from Alexandria. Energies are from PBE.

Results
crystal system = orthorhombic
calculated volume = 20.63 Å³/atom
total energy = -2.3972 eV/atom
DFT formation energy = -30 kJ/mol of atoms

Lattice parameters (Å, degrees): 4.4010 16.5221 9.0794 90.00 90.00 90.00
Closest atoms and distances in Å follow each position.
Space group Cmcm (No. 63)
Inequivalent atoms, fractional coordinates:
Sm  0.0000  0.0000  0.0000  6 Zn 3.20-3.38, 4 Cd 3.29
Sm  0.0000  0.2050  0.2500  13 Zn 3.13-3.37, 2 Cd 3.32
Zn  0.0000  0.1845  0.6086  4 Zn 2.53-2.78
Zn  0.0000  0.3452  0.5189  4 Zn 2.53-2.78, 1 Cd 2.67
Zn  0.0000  0.3950  0.2500  6 Zn 2.58-2.87, 1 Cd 2.63
Cd  0.0000  0.4456  0.7500  3 Zn 2.63-2.67

=====

Here is crystalline SrMg2Bi2 at its relaxed geometry from Alexandria. Energies are from PBE.

Results
crystal system = tetragonal
calculated volume = 29.56 Å³/atom
total energy = -2.8568 eV/atom
DFT formation energy = -32 kJ/mol of atoms

Lattice parameters (Å, degrees): 8.7341 8.7341 3.8752 90.00 90.00 90.00
Closest atoms and distances in Å follow each position.
Space group P4/mbm (No. 127)
Inequivalent atoms, fractional coordinates:
Sr  0.0000  0.0000  0.0000  4 Mg 3.48, 8 Bi 3.75, 2 Sr 3.88
Mg  0.1193  0.3807  0.0000  1 Mg 2.95, 6 Bi 3.16-3.29
Bi  0.1789  0.6789  0.5000  6 Mg 3.16-3.29

=====

Here is crystalline Pa2Si4MoIr3 at its relaxed geometry from Alexandria. Energies are from PBE.

Results
crystal system = tetragonal
calculated volume = 17.16 Å³/atom
E_form (uncorrected) = -0.824 eV per atom
total energy = -8.6341 eV/atom

Lattice parameters (Å, degrees): 4.2016 4.2016 9.7179 90.00 90.00 90.00
Closest atoms and distances in Å follow each position.
Space group P-4m2 (No. 115)
Inequivalent atoms, fractional coordinates:
Pa  0.0000  0.5000  0.2459  8 Si 3.17-3.24, 2 Mo 3.18, 6 Ir 3.18-3.23
Si  0.0000  0.0000  0.5000  4 Ir 2.42
Si  0.0000  0.5000  0.8670  3 Ir 2.36-2.47, 2 Mo 2.47
Si  0.5000  0.5000  0.5000  4 Ir 2.42
Mo  0.5000  0.5000  0.0000  4 Si 2.47
Ir  0.0000  0.0000  0.0000  4 Si 2.47
Ir  0.0000  0.5000  0.6238  5 Si 2.36-2.42

=====

Here is crystalline BePO4 at its relaxed geometry from Alexandria. Energies are from PBE.

Results
crystal system = tetragonal
calculated volume = 15.09 Å³/atom
E_form (uncorrected) = -2.081 eV per atom
relative energy among the computed polymorphs = 0 meV per atom
total energy = -6.9093 eV/atom

Lattice parameters (Å, degrees): 4.9523 4.9523 7.3827 90.00 90.00 90.00
Closest atoms and distances in Å follow each position.
Space group I-4 (No. 82)
Inequivalent atoms, fractional coordinates:
Be  0.0000  0.0000  0.0000  4 O 1.61
P  0.0000  0.5000  0.7500  4 O 1.53
O  0.0547  0.2559  0.8715  1 P 1.53, 1 Be 1.61

=====

Here is crystalline NdAlHg at its relaxed geometry from Alexandria. Energies are from PBE.

Results
crystal system = hexagonal
calculated volume = 24.44 Å³/atom
total energy = -3.4013 eV/atom
DFT formation energy = -45 kJ/mol of atoms

Lattice parameters (Å, degrees): 4.7296 4.7296 11.3560 90.00 90.00 120.00
Closest atoms and distances in Å follow each position.
Space group P-6m2 (No. 187)
Inequivalent atoms, fractional coordinates:
Nd  0.0000  0.0000  0.0000  6 Al 3.20, 6 Hg 3.41
Nd  0.0000  0.0000  0.3312  6 Hg 3.23-3.34, 6 Al 3.34-3.44
Al  0.3333  0.6667  0.5000  3 Hg 2.73
Al  0.6667  0.3333  0.1472  3 Hg 2.76
Hg  0.3333  0.6667  0.1799  3 Al 2.76
Hg  0.6667  0.3333  0.5000  3 Al 2.73

=====

Here is crystalline ScMo2Rh at its relaxed geometry from Alexandria. Energies are from PBE.

Results
crystal system = orthorhombic
calculated volume = 16.45 Å³/atom
relative energy among the computed polymorphs = 151 meV per atom
total energy = -8.9032 eV/atom
DFT formation energy = -6 kJ/mol of atoms

Lattice parameters (Å, degrees): 3.3016 4.5792 8.7039 90.00 90.00 90.00
Closest atoms and distances in Å follow each position.
Space group Cmm2 (No. 35)
Inequivalent atoms, fractional coordinates:
Sc  0.0000  0.0000  0.0000  2 Rh 2.65, 4 Sc 2.82, 2 Mo 2.92
Mo  0.0000  0.0000  0.5179  6 Mo 2.67-2.82, 2 Rh 2.69
Mo  0.0000  0.5000  0.2766  6 Mo 2.67-2.82, 2 Sc 2.92
Rh  0.0000  0.5000  0.7614  2 Sc 2.65, 2 Mo 2.69, 4 Rh 2.82

=====

Here is crystalline PuScCrOs at its relaxed geometry from Alexandria. Energies are from PBE.

Results
crystal system = cubic
calculated volume = 18.03 Å³/atom
total energy = -10.4130 eV/atom
DFT formation energy = -3 kJ/mol of atoms

Lattice parameters (Å, degrees): 6.6072 6.6072 6.6072 90.00 90.00 90.00
Closest atoms and distances in Å follow each position.
Space group F-43m (No. 216)
Inequivalent atoms, fractional coordinates:
Pu  0.0000  0.0000  0.0000  4 Cr 2.86, 4 Os 2.86
Sc  0.0000  0.0000  0.5000  4 Os 2.86, 4 Cr 2.86
Cr  0.2500  0.2500  0.2500  4 Sc 2.86, 4 Pu 2.86
Os  0.2500  0.2500  0.7500  4 Sc 2.86, 4 Pu 2.86

=====

Here is crystalline AcSmTlAg at its relaxed geometry from Alexandria. Energies are from PBE.

Results
crystal system = cubic
calculated volume = 30.49 Å³/atom
relative energy among the computed polymorphs = 17 meV per atom
total energy = -3.7976 eV/atom
DFT formation energy = -28 kJ/mol of atoms

Lattice parameters (Å, degrees): 7.8722 7.8722 7.8722 90.00 90.00 90.00
Closest atoms and distances in Å follow each position.
Space group F-43m (No. 216)
Inequivalent atoms, fractional coordinates:
Ac  0.0000  0.0000  0.0000  4 Ag 3.41, 4 Tl 3.41
Sm  0.0000  0.0000  0.5000  4 Tl 3.41, 4 Ag 3.41
Tl  0.2500  0.2500  0.7500  4 Ac 3.41, 4 Sm 3.41
Ag  0.2500  0.2500  0.2500  4 Sm 3.41, 4 Ac 3.41

=====

Question: Which of these has the highest calculated volume?
Answer: AcSmTlAg